## Sr4PrS5 (PBE-GGA)

Data for crystalline Sr4PrS5 at its relaxed geometry.

Unit cell a=15.338 b=15.338 c=15.338 alpha=164.14 beta=164.14 gamma=22.50
Fractional positions:
Sr (0.099, 0.099, 0.000)
Sr (0.301, 0.301, 0.000)
Sr (0.699, 0.699, 0.000)
Sr (0.901, 0.901, 0.000)
Pr (0.500, 0.500, 0.000)
S (0.000, 0.000, 0.000)
S (0.200, 0.200, 0.000)
S (0.402, 0.402, 0.000)
S (0.598, 0.598, 0.000)
S (0.800, 0.800, 0.000)

Computed properties:
- Uncorrected formation energy: -2104 meV per atom